# PBE Y2CdAs, relaxed
data_Y2CdAs
_chemical_formula_sum 'Y4 Cd2 As2'
_cell_length_a 4.596
_cell_length_b 5.624
_cell_length_c 8.315
_cell_angle_alpha 90.00
_cell_angle_beta 90.00
_cell_angle_gamma 90.00
_space_group_name_H-M_alt 'C m m 2'
_space_group_IT_number 35
_space_group_name_Hall 'C 2 -2'
loop_
_atom_site_label
_atom_site_fract_x
_atom_site_fract_y
_atom_site_fract_z
_atom_site_occupancy
Y1 0.000 0.000 0.000 1
Y2 0.000 0.500 0.331 1
Cd1 0.000 0.000 0.596 1
As1 0.000 0.500 0.808 1
# VASP energy ... -4.98 eV per atom
# Magnetization ... 0.00 Bohr magnetons per cell
# D(E_F) ... 2.94 states/eV/f.u.